Record 1
{"formula": "Ba5Mo", "functional": "PBE", "state": "relaxed", "cell": [[-5.513, -2.422, -4.868], [-4.492, -5.787, -2.507], [-9.670, 0.210, 4.481]], "species": ["Ba", "Ba", "Ba", "Ba", "Mo", "Ba"], "frac_coords": [[0.334, 0.334, 0.276], [0.000, 0.000, 0.500], [0.374, 0.374, 0.877], [0.626, 0.626, 0.123], [0.000, 0.000, 0.000], [0.666, 0.666, 0.724]], "magnetic_moment_mub_per_fu": 2.79, "e_tot_ev_per_atom": -2.8755, "formation_energy_ev_per_atom": 0.532, "de_polymorph_ev_per_atom": 0.0000}

=====

Record 2
{"formula": "NaSbAs2", "functional": "PBE", "state": "relaxed", "cell": [[-2.445, 5.012, -4.301], [-6.035, -3.558, -0.716], [-6.154, 3.179, 1.437]], "species": ["As", "Na", "As", "Sb", "As", "Na", "As", "Sb"], "frac_coords": [[0.875, 0.915, 0.750], [0.250, 0.750, 0.500], [0.375, 0.335, 0.750], [0.750, 0.250, 0.500], [0.085, 0.625, 0.250], [0.500, 0.500, 0.000], [0.665, 0.125, 0.250], [0.000, 0.000, 0.000]], "magnetic_moment_mub_per_fu": 0.00, "e_tot_ev_per_atom": -3.7205, "formation_energy_uncorrected_ev_per_fu": -0.1}

=====

Record 3
{"formula": "La2MoH6", "functional": "PBE", "state": "relaxed", "cell": [[-0.978, -2.557, -4.585], [-2.304, -4.817, 0.068], [-5.024, -0.581, -1.714]], "species": ["H", "H", "H", "La", "H", "La", "H", "Mo", "H"], "frac_coords": [[0.247, 0.753, 0.247], [0.247, 0.753, 0.753], [0.753, 0.247, 0.753], [0.250, 0.250, 0.250], [0.247, 0.247, 0.753], [0.750, 0.750, 0.750], [0.753, 0.753, 0.247], [0.000, 0.000, 0.000], [0.753, 0.247, 0.247]], "magnetic_moment_mub_per_fu": 0.00, "e_tot_ev_per_atom": -5.0184}

=====

Record 4
{"formula": "SbSe2O3F6", "functional": "PBE", "state": "relaxed", "cell": [[6.394, 0.000, -2.530], [0.000, 5.995, 0.000], [-4.510, -2.997, 7.258]], "species": ["F", "F", "F", "Se", "F", "F", "Sb", "F", "O", "O", "O", "Se"], "frac_coords": [[0.554, 0.906, 0.811], [0.171, 0.113, 0.772], [0.446, 0.094, 0.189], [0.753, 0.331, 0.661], [0.829, 0.341, 0.228], [0.829, 0.887, 0.228], [0.500, 0.000, 0.000], [0.171, 0.659, 0.772], [0.500, 0.000, 0.500], [0.500, 0.500, 0.500], [0.000, 0.500, 0.000], [0.247, 0.669, 0.339]], "magnetic_moment_mub_per_fu": 0.00, "e_tot_ev_per_atom": -4.5748, "formation_energy_uncorrected_ev_per_fu": -17.7}

=====

Record 5
{"formula": "La2Pr5Nd4", "functional": "PBE", "state": "relaxed", "cell": [[-2.231, 1.429, -2.353], [-0.999, -8.127, -3.987], [-8.190, -1.916, 9.271]], "species": ["Pr", "Pr", "Nd", "La", "Nd", "La", "Pr", "Pr", "Nd", "Pr", "Nd"], "frac_coords": [[0.500, 0.000, 0.000], [0.141, 0.116, 0.281], [0.679, 0.471, 0.357], [0.911, 0.270, 0.821], [0.321, 0.529, 0.643], [0.089, 0.730, 0.179], [0.768, 0.176, 0.536], [0.232, 0.824, 0.464], [0.047, 0.363, 0.094], [0.859, 0.884, 0.719], [0.953, 0.637, 0.906]], "magnetic_moment_mub_per_fu": 0.00, "e_tot_ev_per_atom": -4.6845, "formation_energy_ev_per_atom": 0.118, "de_polymorph_ev_per_atom": 0.0000}

=====

Record 6
{"formula": "LiCdGaCo", "functional": "PBE", "state": "relaxed", "cell": [[-3.799, 1.972, 0.655], [-3.500, -2.331, 1.037], [-1.655, 0.239, 3.995]], "species": ["Ga", "Co", "Li", "Cd"], "frac_coords": [[0.250, 0.250, 0.250], [0.500, 0.500, 0.500], [0.000, 0.000, 0.000], [0.750, 0.750, 0.750]], "magnetic_moment_mub_per_fu": 0.00, "e_tot_ev_per_atom": -3.3302, "formation_energy_ev_per_atom": -0.090}